TbScSe3: relaxed, PBE.

## Properties
calculated density	5.9	g/cm3
ΔE_f (raw)	-1.768	eV/atom
relative energy among the computed polymorphs	0.0	kJ/mol of atoms

Unit cell a=3.952 b=7.758 c=8.083 alpha=96.09 beta=90.00 gamma=90.00
Fractional coordinates of all 10 atoms:
Tb1 0.250 0.377 0.226
Tb2 0.750 0.623 0.774
Sc1 0.250 0.852 0.329
Sc2 0.750 0.148 0.671
Se1 0.750 0.625 0.392
Se2 0.250 0.375 0.608
Se3 0.750 0.305 0.970
Se4 0.250 0.903 0.677
Se5 0.250 0.695 0.030
Se6 0.750 0.097 0.323